Material: SrY2Be
Method: DFT, SCAN
State: single point on PBEsol structure

a b c (Å): 3.702 3.702 10.470
angles (deg): 79.82 79.82 60.00
Positions (direct):
1 Y 0.225 0.225 0.325
2 Y 0.775 0.775 0.675
3 Sr 0.000 0.000 0.000
4 Be 0.500 0.500 0.500

The formation energy comes out at 0.276 eV per atom. For the size of the total moment, the calculation gives 0.00 Bohr magnetons per cell. Its symmetry is R-3m, No. 166.